No. 1
{"formula": "Ac6NiIr2I2", "functional": "PBE-GGA", "state": "optimized geometry", "cell": [[7.5978, -0.0199, 0.0765], [-3.7726, 6.5951, 0.0765], [-1.3537, -2.3269, 8.5308]], "species": ["Ac", "Ac", "Ac", "Ac", "Ac", "Ac", "Ni", "Ir", "Ir", "I", "I"], "fractional_positions": [[0.7252, 0.7252, 0.6821], [0.0628, 0.3951, 0.6829], [0.2748, 0.2748, 0.3179], [0.3951, 0.0628, 0.6829], [0.9372, 0.6049, 0.3171], [0.6049, 0.9372, 0.3171], [0.0000, 0.0000, 0.5000], [0.3310, 0.6690, 0.5000], [0.6690, 0.3310, 0.5000], [0.8338, 0.1662, 0.0000], [0.1662, 0.8338, 0.0000]], "crystal_system": "monoclinic", "formation_energy_uncorrected_mev_per_atom": -784, "e_tot_ev_per_fu": -59.88}

No. 2
{"formula": "SrAlAs3", "functional": "PBE-GGA", "state": "optimized geometry", "cell": [[5.6416, 0.0000, 0.0000], [0.0000, 5.6416, 0.0000], [0.0000, 0.0000, 5.6416]], "species": ["Sr", "As", "As", "As", "Al"], "fractional_positions": [[0.0000, 0.0000, 0.0000], [0.0000, 0.5000, 0.0000], [0.0000, 0.0000, 0.5000], [0.5000, 0.0000, 0.0000], [0.5000, 0.5000, 0.5000]], "formation_enthalpy_0k_ev_per_atom": 1.02, "crystal_system": "cubic", "e_tot_ev_per_fu": -14.27}

No. 3
{"formula": "CaScPt2", "functional": "PBE-GGA", "state": "optimized geometry", "cell": [[3.8320, 0.0000, 0.0000], [0.0000, 3.8320, 0.0000], [0.0000, 0.0000, 5.7927]], "species": ["Sc", "Ca", "Pt", "Pt"], "fractional_positions": [[0.0000, 0.0000, 0.4238], [0.5000, 0.5000, 0.8116], [0.0000, 0.0000, 0.9523], [0.5000, 0.5000, 0.3123]], "formation_enthalpy_0k_ev_per_atom": -0.77, "crystal_system": "tetragonal", "e_tot_ev_per_fu": -23.49}

No. 4
{"formula": "Th4GaRuSe2", "functional": "PBE-GGA", "state": "optimized geometry", "cell": [[-2.2889, -0.0084, 3.5074], [-4.6380, -5.0146, -3.0386], [2.4834, -6.7535, 1.6045]], "species": ["Th", "Th", "Th", "Th", "Ga", "Ru", "Se", "Se"], "fractional_positions": [[0.0000, 0.7233, 0.7700], [0.0000, 0.2767, 0.2300], [0.5000, 0.7323, 0.2398], [0.5000, 0.2677, 0.7602], [0.0000, 0.5000, 0.5000], [0.5000, 0.5000, 0.0000], [0.0000, 0.0000, 0.0000], [0.5000, 0.0000, 0.5000]], "crystal_system": "monoclinic", "formation_energy_uncorrected_mev_per_atom": -978, "e_tot_ev_per_fu": -56.78}

No. 5
{"formula": "PmZn2Ge", "functional": "PBE-GGA", "state": "optimized geometry", "cell": [[-1.6112, -4.4571, -1.0881], [3.0455, -3.7882, 0.1422], [-0.4440, -3.3465, 3.4999]], "species": ["Ge", "Zn", "Zn", "Pm"], "fractional_positions": [[0.0000, 0.0000, 0.0000], [0.2500, 0.2500, 0.2500], [0.7500, 0.7500, 0.7500], [0.5000, 0.5000, 0.5000]], "formation_enthalpy_0k_ev_per_atom": -0.18, "crystal_system": "cubic", "e_tot_ev_per_fu": -12.63}

No. 6
{"formula": "Zr6ScTc5", "functional": "PBE-GGA", "state": "optimized geometry", "cell": [[-0.3597, -4.6424, -0.6569], [6.6458, -0.3849, -0.9198], [-2.2475, 1.4668, 7.6967]], "species": ["Sc", "Tc", "Tc", "Tc", "Tc", "Tc", "Zr", "Zr", "Zr", "Zr", "Zr", "Zr"], "fractional_positions": [[0.0000, 0.0000, 0.0000], [0.3399, 0.8399, 0.6798], [0.6684, 0.6684, 0.3367], [0.0000, 0.5000, 0.0000], [0.3316, 0.3316, 0.6633], [0.6601, 0.1601, 0.3202], [0.1725, 0.4300, 0.3450], [0.1725, 0.9150, 0.3450], [0.5000, 0.2668, 0.0000], [0.5000, 0.7332, 0.0000], [0.8275, 0.0850, 0.6550], [0.8275, 0.5700, 0.6550]], "formation_enthalpy_0k_ev_per_atom": -0.30, "crystal_system": "orthorhombic", "e_tot_ev_per_fu": -113.04}

No. 7
{"formula": "ErCoSn", "functional": "PBE-GGA", "state": "optimized geometry", "cell": [[-2.7714, 3.5136, -0.4843], [-1.2847, 1.3030, -4.1124], [-4.2464, -0.6514, -1.3431]], "species": ["Co", "Sn", "Er"], "fractional_positions": [[0.2500, 0.2500, 0.2500], [0.5000, 0.5000, 0.5000], [0.0000, 0.0000, 0.0000]], "formation_enthalpy_0k_ev_per_atom": -0.36, "crystal_system": "cubic", "e_tot_ev_per_fu": -16.75}

No. 8
{"formula": "Ac2Sm2Te7", "functional": "PBE-GGA", "state": "optimized geometry", "cell": [[-5.8932, -1.9293, -5.0224], [4.2582, -4.1756, -3.3921], [-1.5403, -5.8233, 5.2339]], "species": ["Ac", "Ac", "Sm", "Sm", "Te", "Te", "Te", "Te", "Te", "Te", "Te"], "fractional_positions": [[0.7569, 0.5000, 0.7569], [0.2431, 0.5000, 0.2431], [0.7297, 0.0000, 0.2703], [0.2703, 0.0000, 0.7297], [0.0000, 0.2543, 0.5000], [0.5000, 0.7457, 0.0000], [0.0000, 0.7457, 0.5000], [0.5000, 0.2543, 0.0000], [0.0000, 0.0000, 0.0000], [0.5000, 0.7559, 0.5000], [0.5000, 0.2441, 0.5000]], "crystal_system": "orthorhombic", "formation_energy_uncorrected_mev_per_atom": -1159, "e_tot_ev_per_fu": -52.39}

No. 9
{"formula": "Ba4Os", "functional": "PBE-GGA", "state": "optimized geometry", "cell": [[4.1346, -4.6168, 2.4443], [-5.6942, -2.8959, -1.8907], [2.8346, 2.9632, -5.2506]], "species": ["Ba", "Ba", "Ba", "Ba", "Os"], "fractional_positions": [[0.5000, 0.0000, 0.0000], [0.5000, 0.5000, 0.5000], [0.0000, 0.5000, 0.0000], [0.0000, 0.0000, 0.5000], [0.0000, 0.0000, 0.0000]], "formation_enthalpy_0k_ev_per_atom": 0.54, "crystal_system": "cubic", "e_tot_ev_per_fu": -16.20}

No. 10
{"formula": "Pm4Pr4Sm3", "functional": "PBE-GGA", "state": "optimized geometry", "cell": [[-5.7082, -0.5026, 1.0878], [2.3916, -3.9924, -4.9313], [2.0851, -7.8089, 7.3334]], "species": ["Pm", "Pm", "Pm", "Pm", "Pr", "Pr", "Pr", "Pr", "Sm", "Sm", "Sm"], "fractional_positions": [[0.6142, 0.2283, 0.5000], [0.5500, 0.0999, 0.0000], [0.1047, 0.2094, 0.6989], [0.1047, 0.2094, 0.3011], [0.7539, 0.5078, 0.7922], [0.7539, 0.5078, 0.2078], [0.8882, 0.7763, 0.5000], [0.9583, 0.9167, 0.0000], [0.4085, 0.8171, 0.2937], [0.4085, 0.8171, 0.7063], [0.2536, 0.5072, 0.0000]], "formation_enthalpy_0k_ev_per_atom": 0.14, "crystal_system": "orthorhombic", "e_tot_ev_per_fu": -50.70}

No. 11
{"formula": "ScTl2Ir", "functional": "PBE-GGA", "state": "optimized geometry", "cell": [[6.0031, -0.0188, 0.0147], [-2.9363, 5.2360, 0.0147], [0.9141, 1.5550, 2.7744]], "species": ["Ir", "Sc", "Tl", "Tl"], "fractional_positions": [[0.5000, 0.0000, 0.5000], [0.0000, 0.5000, 0.5000], [0.0000, 0.0000, 0.0000], [0.5000, 0.5000, 0.0000]], "formation_enthalpy_0k_ev_per_atom": 0.15, "crystal_system": "monoclinic", "e_tot_ev_per_fu": -19.31}

No. 12
{"formula": "Y12Sc7In", "functional": "PBE-GGA", "state": "optimized geometry", "cell": [[-3.7942, 6.1457, 4.6695], [-6.6946, -3.8446, -3.7910], [2.2810, -5.7348, 5.9898]], "species": ["Y", "Y", "Y", "Y", "Y", "Y", "Y", "Y", "Y", "Y", "Y", "Y", "Sc", "Sc", "Sc", "Sc", "Sc", "Sc", "Sc", "In"], "fractional_positions": [[0.7646, 0.2376, 0.5062], [0.7624, 0.4938, 0.2354], [0.3475, 0.0807, 0.3225], [0.9193, 0.6775, 0.6525], [0.4938, 0.2354, 0.7624], [0.6775, 0.6525, 0.9193], [0.3225, 0.3475, 0.0807], [0.5062, 0.7646, 0.2376], [0.0807, 0.3225, 0.3475], [0.6525, 0.9193, 0.6775], [0.2376, 0.5062, 0.7646], [0.2354, 0.7624, 0.4938], [0.0923, 0.6853, 0.0865], [0.3147, 0.9135, 0.9077], [0.9135, 0.9077, 0.3147], [0.5000, 0.5000, 0.5000], [0.0865, 0.0923, 0.6853], [0.6853, 0.0865, 0.0923], [0.9077, 0.3147, 0.9135], [0.0000, 0.0000, 0.0000]], "formation_enthalpy_0k_ev_per_atom": 0.05, "crystal_system": "trigonal", "e_tot_ev_per_fu": -123.66}

No. 13
{"formula": "TaAgPdPt", "functional": "PBE-GGA", "state": "optimized geometry", "cell": [[-2.2221, 1.7523, -0.5930], [0.3709, -1.0064, 2.6850], [15.7396, 22.0170, 6.0783]], "species": ["Ta", "Ta", "Ta", "Ag", "Ag", "Ag", "Pd", "Pd", "Pd", "Pt", "Pt", "Pt"], "fractional_positions": [[0.0000, 0.0000, 0.1143], [0.3333, 0.6667, 0.7809], [0.6667, 0.3333, 0.4476], [0.0000, 0.0000, 0.2816], [0.3333, 0.6667, 0.9482], [0.6667, 0.3333, 0.6149], [0.0000, 0.0000, 0.7012], [0.3333, 0.6667, 0.3679], [0.6667, 0.3333, 0.0345], [0.0000, 0.0000, 0.8602], [0.3333, 0.6667, 0.5269], [0.6667, 0.3333, 0.1935]], "formation_enthalpy_0k_ev_per_atom": -0.25, "crystal_system": "trigonal", "e_tot_ev_per_fu": -26.92}

No. 14
{"formula": "NaSrSn", "functional": "PBE-GGA", "state": "optimized geometry", "cell": [[5.5497, 0.0000, 0.0000], [-2.7749, 4.8062, 0.0000], [0.0000, 0.0000, 23.2501]], "species": ["Na", "Na", "Na", "Na", "Na", "Na", "Sn", "Sn", "Sn", "Sn", "Sn", "Sn", "Sr", "Sr", "Sr", "Sr", "Sr", "Sr"], "fractional_positions": [[0.0000, 0.0000, 0.8844], [0.3333, 0.6667, 0.5510], [0.6667, 0.3333, 0.2177], [0.0000, 0.0000, 0.5020], [0.3333, 0.6667, 0.1686], [0.6667, 0.3333, 0.8353], [0.0000, 0.0000, 0.0191], [0.3333, 0.6667, 0.6857], [0.6667, 0.3333, 0.3524], [0.0000, 0.0000, 0.1512], [0.3333, 0.6667, 0.8179], [0.6667, 0.3333, 0.4846], [0.0000, 0.0000, 0.2963], [0.3333, 0.6667, 0.9630], [0.6667, 0.3333, 0.6296], [0.0000, 0.0000, 0.7401], [0.3333, 0.6667, 0.4067], [0.6667, 0.3333, 0.0734]], "formation_enthalpy_0k_ev_per_atom": -0.40, "crystal_system": "trigonal", "e_tot_ev_per_fu": -8.21}

No. 15
{"formula": "Nd4MgGa3", "functional": "PBE-GGA", "state": "optimized geometry", "cell": [[-4.7611, 0.3583, -2.2273], [0.1885, -7.3627, -1.5874], [-4.5048, -2.1180, 9.2887]], "species": ["Mg", "Mg", "Nd", "Nd", "Nd", "Nd", "Nd", "Nd", "Nd", "Nd", "Ga", "Ga", "Ga", "Ga", "Ga", "Ga"], "fractional_positions": [[0.0000, 0.5000, 0.0000], [0.0000, 0.5000, 0.5000], [0.5000, 0.7573, 0.0000], [0.5000, 0.7573, 0.5000], [0.5000, 0.2427, 0.0000], [0.5000, 0.2427, 0.5000], [0.0019, 0.7573, 0.7500], [0.9981, 0.7573, 0.2500], [0.9981, 0.2427, 0.2500], [0.0019, 0.2427, 0.7500], [0.0000, 0.0000, 0.0000], [0.0000, 0.0000, 0.5000], [0.5028, 0.0000, 0.7500], [0.4972, 0.0000, 0.2500], [0.5029, 0.5000, 0.7500], [0.4971, 0.5000, 0.2500]], "formation_enthalpy_0k_ev_per_atom": -0.44, "crystal_system": "orthorhombic", "e_tot_ev_per_fu": -33.25}

No. 16
{"formula": "CaGd2S4", "functional": "PBE-GGA", "state": "optimized geometry", "cell": [[-4.2197, 4.2197, 4.2304], [4.2197, -4.2197, 4.2304], [4.2197, 4.2197, -4.2304]], "species": ["Ca", "Ca", "Gd", "Gd", "Gd", "Gd", "S", "S", "S", "S", "S", "S", "S", "S"], "fractional_positions": [[0.7500, 0.2500, 0.5000], [0.0000, 0.0000, 0.0000], [0.8750, 0.4967, 0.1217], [0.2467, 0.1250, 0.6217], [0.3750, 0.7533, 0.8783], [0.5033, 0.6250, 0.3783], [0.6198, 0.0135, 0.7507], [0.4872, 0.2365, 0.1062], [0.1309, 0.3802, 0.3938], [0.7635, 0.8698, 0.2507], [0.1302, 0.3809, 0.8938], [0.9865, 0.7372, 0.6062], [0.2628, 0.8691, 0.2493], [0.6191, 0.5128, 0.7493]], "crystal_system": "tetragonal", "formation_energy_uncorrected_mev_per_atom": -2083, "e_tot_ev_per_fu": -61.26}

No. 17
{"formula": "As2IrSe", "functional": "PBE-GGA", "state": "optimized geometry", "cell": [[3.9574, -0.0052, 0.0010], [2.4070, 3.1413, 0.0010], [0.9989, 0.4922, 6.5652]], "species": ["As", "As", "Ir", "Se"], "fractional_positions": [[0.9274, 0.9274, 0.0099], [0.7966, 0.7966, 0.6858], [0.5053, 0.5053, 0.5254], [0.2706, 0.2706, 0.2790]], "crystal_system": "monoclinic", "formation_energy_uncorrected_mev_per_atom": 73, "e_tot_ev_per_fu": -21.35}

No. 18
{"formula": "Pm2Ni2Se", "functional": "PBE-GGA", "state": "optimized geometry", "cell": [[3.8384, -0.0096, -1.2544], [-2.1238, 3.4345, -0.0265], [0.5065, 0.3755, 8.0483]], "species": ["Pm", "Pm", "Ni", "Ni", "Se"], "fractional_positions": [[0.8343, 0.4171, 0.2514], [0.1657, 0.5829, 0.7486], [0.3374, 0.1687, 0.5061], [0.6626, 0.8313, 0.4939], [0.0000, 0.0000, 0.0000]], "crystal_system": "trigonal", "formation_energy_uncorrected_mev_per_atom": -956, "e_tot_ev_per_fu": -29.33}

No. 19
{"formula": "Sn2HgTe", "functional": "PBE-GGA", "state": "optimized geometry", "cell": [[0.0000, 3.8385, 3.8385], [3.8385, 0.0000, 3.8385], [3.8385, 3.8385, 0.0000]], "species": ["Te", "Hg", "Sn", "Sn"], "fractional_positions": [[0.0000, 0.0000, 0.0000], [0.5000, 0.5000, 0.5000], [0.2500, 0.2500, 0.2500], [0.7500, 0.7500, 0.7500]], "crystal_system": "cubic", "formation_energy_uncorrected_mev_per_atom": 62, "e_tot_ev_per_fu": -11.20}

No. 20
{"formula": "Mn2FeCu", "functional": "PBE-GGA", "state": "optimized geometry", "cell": [[-1.8710, 0.1847, -3.5907], [-0.5636, -3.3781, -2.1676], [-3.7261, -1.5371, -0.4250]], "species": ["Cu", "Fe", "Mn", "Mn"], "fractional_positions": [[0.5000, 0.5000, 0.5000], [0.7500, 0.7500, 0.7500], [0.0000, 0.0000, 0.0000], [0.2500, 0.2500, 0.2500]], "formation_enthalpy_0k_ev_per_atom": 0.29, "crystal_system": "cubic", "e_tot_ev_per_fu": -29.75}